This record from Alexandria describes ZnInPPt after structural relaxation. The functional is PBE-GGA.

## Properties
density of states at the Fermi level	0.7	states/eV/f.u.
E above lowest polymorph	143	meV/atom

```
ZnInPPt
1.0
-2.139 1.972 0.324
-2.776 -2.567 -2.795
-0.558 -1.561 5.782
Zn In P Pt
1 1 1 1
Cartesian
-4.103 -0.750 2.436
-3.512 0.326 -0.449
-2.615 0.613 3.743
-1.534 -0.053 1.726
```

=====

This record from Alexandria describes SbOsPt2 after structural relaxation. The functional is PBE-GGA.

## Properties
density of states at the Fermi level	5.7	states/eV/f.u.
formation energy without anion corrections	0.277	eV/atom

```
SbOsPt2
1.0
-2.674 1.017 0.480
-0.975 -2.713 0.322
1.611 0.388 8.158
Os Pt Sb
1 2 1
Cartesian
-0.616 -0.557 6.519
1.558 0.375 7.890
0.859 0.207 4.347
-1.421 -0.751 2.440
```

=====

This record from Alexandria describes Sm8Cd2Ga after structural relaxation. The functional is PBE-GGA.

## Properties
density of states at the Fermi level	12.2	states/eV/f.u.
calculated total energy	-44.5	eV/cell

```
Sm8Cd2Ga
1.0
-2.581 -1.173 -4.500
-4.125 -4.576 3.559
-2.904 8.744 2.529
Sm Cd Ga
8 2 1
Cartesian
-5.687 4.165 2.176
-6.628 -2.372 1.277
-6.713 1.116 0.416
-6.279 6.229 -1.166
-2.897 1.878 1.172
-2.982 5.367 0.311
-3.922 -1.170 -0.588
-3.331 -3.235 2.754
-5.133 3.301 -1.060
-4.477 -0.306 2.648
-1.290 -0.587 -2.250
```

=====

This record from Alexandria describes Ta3TiPb after structural relaxation. The functional is PBE-GGA.

## Properties
density of states at the Fermi level	3.9	states/eV/f.u.
E above lowest polymorph	0	meV/atom

```
Ta3TiPb
1.0
-3.080 -0.098 3.647
-3.583 -0.820 -3.048
0.689 -4.703 0.455
Pb Ti Ta
1 1 3
Cartesian
-2.987 -2.811 0.527
0.000 0.000 0.000
-1.791 -0.410 -1.524
0.345 -2.352 0.228
-1.540 -0.049 1.824
```

=====

This record from Alexandria describes Pu2AgSb4 after structural relaxation. The functional is PBE-GGA.

## Properties
density of states at the Fermi level	22.2	states/eV/f.u.
formation energy without anion corrections	-0.401	eV/atom

```
Pu2AgSb4
1.0
-3.509 1.870 -1.879
0.213 -2.908 -3.293
-5.808 -5.974 4.900
Pu Ag Sb
2 1 4
Cartesian
-6.118 -3.554 2.742
-1.338 -2.939 -0.428
-1.648 -0.519 -2.586
-2.788 -0.128 -0.067
-4.668 -6.365 2.382
-4.552 -3.506 -0.136
-2.904 -2.987 2.450
```

=====

This record from Alexandria describes Ho6NpSe12 after structural relaxation. The functional is PBE-GGA.

## Properties
formation energy without anion corrections	-1.579	eV/atom

```
Ho6NpSe12
1.0
-6.173 -2.749 -4.607
6.148 -4.049 -3.563
-1.060 -4.794 6.541
Ho Np Se
6 1 12
Cartesian
0.722 -7.057 -3.773
-2.072 -3.765 -3.155
2.677 -4.541 -0.793
-1.807 -4.534 2.144
0.987 -7.826 1.526
-3.762 -7.050 -0.835
0.000 0.000 0.000
-1.961 -6.645 -3.099
1.837 -7.284 -1.082
-1.860 -7.259 1.204
0.876 -4.946 1.470
-2.923 -4.307 -0.546
0.775 -4.332 -2.833
5.154 -5.717 -1.703
3.008 -7.221 3.500
1.471 -5.712 -6.217
-6.239 -5.874 0.075
-4.093 -4.370 -5.129
-2.556 -5.879 4.588
```

=====

This record from Alexandria describes Sm6DyEr8 after structural relaxation. The functional is PBE-GGA.

## Properties
density of states at the Fermi level	21.7	states/eV/f.u.
calculated total energy	-65.9	eV/cell

```
Sm6DyEr8
1.0
6.504 0.000 0.000
0.000 8.163 -4.713
0.000 0.000 9.426
Sm Dy Er
6 1 8
Cartesian
3.853 5.549 -2.357
3.853 7.430 1.271
3.853 3.348 1.086
2.651 2.614 7.070
2.651 0.733 3.442
2.651 4.815 3.627
3.252 0.000 0.000
5.857 7.977 -1.681
5.857 5.630 3.036
5.857 2.719 -1.355
0.647 0.186 6.394
0.647 2.533 1.677
0.647 5.444 6.068
5.494 2.721 4.713
1.010 5.442 0.000
```

=====

This record from Alexandria describes LiSc2Pb after structural relaxation. The functional is PBE-GGA.

## Properties
density of states at the Fermi level	5.7	states/eV/f.u.
calculated total energy	-17.4	eV/cell

```
LiSc2Pb
1.0
1.915 0.000 11.027
-0.957 1.658 11.027
-0.957 -1.658 11.027
Pb Sc Li
1 2 1
Cartesian
0.000 0.000 0.000
0.000 0.000 30.070
0.000 0.000 3.011
0.000 0.000 16.540
```

=====

This record from Alexandria describes Tb6Pr12Mg after structural relaxation. The functional is PBE-GGA.

## Properties
density of states at the Fermi level	26.9	states/eV/f.u.
E above lowest polymorph	13	meV/atom

```
Tb6Pr12Mg
1.0
-0.219 -8.597 2.057
8.534 0.466 -2.269
0.776 3.172 8.217
Tb Pr Mg
6 12 1
Cartesian
1.462 0.174 3.308
5.548 -4.398 7.516
7.902 -1.968 6.348
7.629 -5.133 4.698
3.543 -0.561 0.489
1.189 -2.991 1.658
1.773 -3.081 5.594
5.381 0.659 3.814
4.973 -4.193 1.271
7.318 -1.878 2.412
3.711 -5.618 4.192
4.118 -0.766 6.735
0.521 0.107 6.612
7.030 1.276 7.071
2.578 -6.125 7.542
8.570 -5.066 1.394
2.061 -6.235 0.935
6.513 1.166 0.463
0.000 0.000 0.000
```

=====

This record from Alexandria describes BeSbTe2I after structural relaxation. The functional is PBE-GGA.

## Properties
density of states at the Fermi level	4.8	states/eV/f.u.
E above lowest polymorph	583	meV/atom
formation energy without anion corrections	0.909	eV/atom

```
BeSbTe2I
1.0
-3.748 4.375 0.298
-3.092 -2.359 -4.260
-3.200 -3.013 3.991
I Sb Te Be
1 1 2 1
Cartesian
-1.600 -1.506 1.995
0.000 0.000 0.000
-1.546 -1.179 -2.130
-1.874 2.188 0.149
-5.020 -0.498 0.014
```

=====

This record from Alexandria describes Cr2In2Ag after structural relaxation. The functional is PBE-GGA.

## Properties
density of states at the Fermi level	3.6	states/eV/f.u.
E above lowest polymorph	0	meV/atom

```
Cr2In2Ag
1.0
-0.344 -0.745 3.104
-3.051 -0.841 -0.540
0.907 -9.139 -0.432
Cr Ag In
2 1 2
Cartesian
-0.567 -5.338 1.977
-1.920 -5.386 0.155
0.000 0.000 0.000
-1.099 -2.711 0.888
-1.389 -8.014 1.244
```

=====

This record from Alexandria describes MgRe2Br after structural relaxation. The functional is PBE-GGA.

## Properties
density of states at the Fermi level	2.1	states/eV/f.u.
E above lowest polymorph	206	meV/atom
formation energy without anion corrections	0.361	eV/atom

```
MgRe2Br
1.0
-1.291 -1.761 -2.811
1.831 -0.242 -3.043
3.691 -7.594 -0.043
Br Mg Re
1 1 2
Cartesian
2.051 -4.621 -2.656
1.036 -2.345 -1.408
3.567 -7.370 -0.244
3.383 -7.653 -4.580
```